Here is a relaxed structure of Li6MgAu12 from Alexandria. Energies are from PBE-GGA.

Cell lengths 7.4354, 7.4354, 7.4354 Å; angles 106.72, 106.72, 106.72 degrees
Fractional coordinates of all 19 atoms:
Li 0.7965 0.9228 0.5217
Li 0.4783 0.2035 0.0772
Li 0.0772 0.4783 0.2035
Li 0.2035 0.0772 0.4783
Li 0.5217 0.7965 0.9228
Li 0.9228 0.5217 0.7965
Mg 0.0000 0.0000 0.0000
Au 0.8104 0.5227 0.4128
Au 0.4128 0.8104 0.5227
Au 0.5227 0.4128 0.8104
Au 0.1896 0.4773 0.5872
Au 0.5872 0.1896 0.4773
Au 0.4773 0.5872 0.1896
Au 0.8677 0.7370 0.1630
Au 0.2630 0.8370 0.1323
Au 0.8370 0.1323 0.2630
Au 0.1323 0.2630 0.8370
Au 0.7370 0.1630 0.8677
Au 0.1630 0.8677 0.7370

Results
V = 344.9 Å³/f.u.
Formation energy = -7.3 eV per formula unit
Total magnetization = 0.000 μB per cell
Total DFT energy (no corrections) = -3.14 eV per atom

---

Here is a relaxed structure of Li3MgAu6 from Alexandria. Energies are from PBE-GGA.

Cell lengths 4.3454, 8.2383, 9.3005 Å; angles 98.78, 90.00, 90.00 degrees
Fractional coordinates of all 20 atoms:
Li 0.2500 0.5493 0.3948
Li 0.7500 0.4507 0.6052
Li 0.2500 0.3480 0.8134
Li 0.7500 0.6520 0.1866
Li 0.2500 0.7494 0.9797
Li 0.7500 0.2506 0.0203
Mg 0.2500 0.9374 0.6087
Mg 0.7500 0.0626 0.3913
Au 0.2500 0.4670 0.0992
Au 0.7500 0.5330 0.9008
Au 0.2500 0.1631 0.2109
Au 0.7500 0.8369 0.7891
Au 0.2500 0.6165 0.6860
Au 0.7500 0.3835 0.3140
Au 0.2500 0.2617 0.5233
Au 0.7500 0.7383 0.4767
Au 0.2500 0.8393 0.2902
Au 0.7500 0.1607 0.7098
Au 0.2500 0.0600 0.9056
Au 0.7500 0.9400 0.0944

Results
V = 164.5 Å³/f.u.
Formation energy = -4.7 eV per formula unit
Total magnetization = 0.000 μB per cell
Total DFT energy (no corrections) = -3.17 eV per atom

---

Here is a relaxed structure of Li8MgAu6 from Alexandria. Energies are from PBE-GGA.

Cell lengths 7.7411, 7.7411, 6.9939 Å; angles 56.40, 56.40, 60.00 degrees
Fractional coordinates of all 15 atoms:
Li 0.5508 0.2116 0.3579
Li 0.7884 0.1203 0.6421
Li 0.1203 0.4492 0.6421
Li 0.6677 0.6677 0.9970
Li 0.3323 0.3323 0.0030
Li 0.8797 0.5508 0.3579
Li 0.2116 0.8797 0.3579
Li 0.4492 0.7884 0.6421
Mg 0.0000 0.0000 0.0000
Au 0.3887 0.0499 0.8510
Au 0.9501 0.2896 0.1490
Au 0.2896 0.6113 0.1490
Au 0.7104 0.3887 0.8510
Au 0.0499 0.7104 0.8510
Au 0.6113 0.9501 0.1490

Results
V = 279.2 Å³/f.u.
Formation energy = -6.6 eV per formula unit
Total magnetization = 0.000 μB per cell
Total DFT energy (no corrections) = -2.88 eV per atom

---

Here is a relaxed structure of LiMgAu from Alexandria. Energies are from PBE-GGA.

Cell lengths 4.3047, 4.3047, 4.3047 Å; angles 60.00, 60.00, 60.00 degrees
Fractional coordinates of all 3 atoms:
Au 0.5000 0.5000 0.5000
Li 0.7500 0.7500 0.7500
Mg 0.0000 0.0000 0.0000

Results
Polymorph energy (0 for the lowest one) = 259 meV per atom
V = 56.4 Å³/f.u.
Formation energy = -0.7 eV per formula unit
Total magnetization = 0.000 μB per cell
Total DFT energy (no corrections) = -2.51 eV per atom

---

Here is a relaxed structure of Li6MgAu from Alexandria. Energies are from PBE-GGA.

Cell lengths 4.6453, 4.7036, 6.5234 Å; angles 90.00, 90.00, 90.00 degrees
Fractional coordinates of all 8 atoms:
Li 0.5000 0.7835 0.2788
Li 0.0000 0.2224 0.7232
Li 0.0000 0.2224 0.2768
Li 0.5000 0.7835 0.7212
Li 0.0000 0.6985 0.5000
Li 0.5000 0.2732 0.0000
Mg 0.0000 0.7292 0.0000
Au 0.5000 0.2873 0.5000

Results
Polymorph energy (0 for the lowest one) = 0 meV per atom
V = 142.5 Å³/f.u.
Formation energy = -1.6 eV per formula unit
Total magnetization = 0.000 μB per cell
Total DFT energy (no corrections) = -2.24 eV per atom

---

Here is a relaxed structure of Li8Mg2Au from Alexandria. Energies are from PBE-GGA.

Cell lengths 6.2885, 8.1158, 8.1158 Å; angles 38.52, 56.92, 56.92 degrees
Fractional coordinates of all 11 atoms:
Li 0.2401 0.3204 0.8126
Li 0.7599 0.1874 0.6796
Li 0.1734 0.7583 0.7583
Li 0.8266 0.2417 0.2417
Li 0.2401 0.8126 0.3204
Li 0.7599 0.6796 0.1874
Li 0.7656 0.6041 0.6041
Li 0.2344 0.3959 0.3959
Mg 0.5222 0.8333 0.8333
Mg 0.4778 0.1667 0.1667
Au 0.0000 0.0000 0.0000

Results
V = 210.5 Å³/f.u.
Formation energy = -1.3 eV per formula unit
Total magnetization = 0.000 μB per cell
Total DFT energy (no corrections) = -2.10 eV per atom

---

Here is a relaxed structure of LiMg5Au4 from Alexandria. Energies are from PBE-GGA.

Cell lengths 3.3768, 3.3768, 16.0268 Å; angles 90.00, 90.00, 90.00 degrees
Fractional coordinates of all 10 atoms:
Li 0.0000 0.0000 0.0000
Mg 0.5000 0.5000 0.1064
Mg 0.5000 0.5000 0.3008
Mg 0.5000 0.5000 0.5000
Mg 0.5000 0.5000 0.6992
Mg 0.5000 0.5000 0.8936
Au 0.0000 0.0000 0.1985
Au 0.0000 0.0000 0.4001
Au 0.0000 0.0000 0.5999
Au 0.0000 0.0000 0.8015

Results
V = 182.8 Å³/f.u.
Formation energy = -5.2 eV per formula unit
Total magnetization = 0.000 μB per cell
Total DFT energy (no corrections) = -2.82 eV per atom

---

Here is a relaxed structure of Li2Mg2Au from Alexandria. Energies are from PBE-GGA.

Cell lengths 4.5919, 5.4068, 8.6964 Å; angles 65.88, 74.69, 64.87 degrees
Fractional coordinates of all 10 atoms:
Li 0.9689 0.2163 0.8459
Li 0.1541 0.2540 0.4378
Li 0.0311 0.7837 0.1541
Li 0.8459 0.7460 0.5622
Mg 0.3339 0.2836 0.0487
Mg 0.5568 0.2384 0.6480
Mg 0.6661 0.7164 0.9513
Mg 0.4432 0.7616 0.3520
Au 0.7470 0.2428 0.2632
Au 0.2530 0.7572 0.7368

Results
Polymorph energy (0 for the lowest one) = 0 meV per atom
V = 88.7 Å³/f.u.
Formation energy = -1.7 eV per formula unit
Total magnetization = 0.000 μB per cell
Total DFT energy (no corrections) = -2.39 eV per atom

---

Here is a relaxed structure of Li6Mg3Au from Alexandria. Energies are from PBE-GGA.

Cell lengths 4.8209, 7.9093, 10.6386 Å; angles 112.73, 90.00, 90.00 degrees
Fractional coordinates of all 20 atoms:
Li 0.7500 0.6930 0.1244
Li 0.2500 0.3070 0.8756
Li 0.7500 0.0966 0.2290
Li 0.2500 0.9034 0.7710
Li 0.7500 0.0697 0.7191
Li 0.2500 0.9303 0.2809
Li 0.7500 0.2981 0.5075
Li 0.2500 0.7019 0.4925
Li 0.7500 0.4771 0.3455
Li 0.2500 0.5229 0.6545
Li 0.7500 0.8846 0.9119
Li 0.2500 0.1154 0.0881
Mg 0.7500 0.8660 0.4296
Mg 0.2500 0.1340 0.5704
Mg 0.7500 0.4835 0.8006
Mg 0.2500 0.5165 0.1994
Mg 0.7500 0.2936 0.0242
Mg 0.2500 0.7064 0.9758
Au 0.7500 0.6951 0.6311
Au 0.2500 0.3049 0.3689

Results
V = 187.1 Å³/f.u.
Formation energy = -1.8 eV per formula unit
Total magnetization = 0.000 μB per cell
Total DFT energy (no corrections) = -2.13 eV per atom

---

Here is a relaxed structure of Li15Mg2Au2 from Alexandria. Energies are from PBE-GGA.

Cell lengths 7.1413, 7.1413, 7.1413 Å; angles 77.39, 77.39, 77.39 degrees
Fractional coordinates of all 19 atoms:
Li 0.0000 0.5000 0.0000
Li 0.0000 0.0000 0.5000
Li 0.5000 0.0000 0.0000
Li 0.2690 0.0000 0.7310
Li 0.7310 0.2690 0.0000
Li 0.0000 0.7310 0.2690
Li 0.2690 0.7310 0.0000
Li 0.0000 0.2690 0.7310
Li 0.7310 0.0000 0.2690
Li 0.3990 0.8455 0.3990
Li 0.3990 0.3990 0.8455
Li 0.8455 0.3990 0.3990
Li 0.6010 0.1545 0.6010
Li 0.6010 0.6010 0.1545
Li 0.1545 0.6010 0.6010
Mg 0.7001 0.7001 0.7001
Mg 0.2999 0.2999 0.2999
Au 0.8925 0.8925 0.8925
Au 0.1075 0.1075 0.1075

Results
V = 341.2 Å³/f.u.
Formation energy = -1.8 eV per formula unit
Total magnetization = 0.000 μB per cell
Total DFT energy (no corrections) = -2.12 eV per atom

---

Here is a relaxed structure of Li4MgAu from Alexandria. Energies are from PBE-GGA.

Cell lengths 5.1475, 5.1475, 5.1475 Å; angles 60.00, 60.00, 60.00 degrees
Fractional coordinates of all 6 atoms:
Li 0.8794 0.3735 0.3735
Li 0.3735 0.3735 0.8794
Li 0.3735 0.8794 0.3735
Li 0.3735 0.3735 0.3735
Mg 0.7500 0.7500 0.7500
Au 0.0000 0.0000 0.0000

Results
Polymorph energy (0 for the lowest one) = 135 meV per atom
V = 96.4 Å³/f.u.
Formation energy = -0.9 eV per formula unit
Total magnetization = 0.000 μB per cell
Total DFT energy (no corrections) = -2.24 eV per atom

---

Here is a relaxed structure of Li3Mg3Au from Alexandria. Energies are from PBE-GGA.

Cell lengths 4.6943, 8.1514, 8.1514 Å; angles 120.00, 90.00, 90.00 degrees
Fractional coordinates of all 14 atoms:
Li 0.7500 0.8928 0.4464
Li 0.7500 0.5536 0.1072
Li 0.7500 0.5536 0.4464
Li 0.2500 0.1072 0.5536
Li 0.2500 0.4464 0.8928
Li 0.2500 0.4464 0.5536
Mg 0.7500 0.7213 0.8606
Mg 0.7500 0.1394 0.2787
Mg 0.7500 0.1394 0.8606
Mg 0.2500 0.2787 0.1394
Mg 0.2500 0.8606 0.7213
Mg 0.2500 0.8606 0.1394
Au 0.7500 0.3333 0.6667
Au 0.2500 0.6667 0.3333

Results
V = 135.1 Å³/f.u.
Formation energy = -1.6 eV per formula unit
Total magnetization = 0.000 μB per cell
Total DFT energy (no corrections) = -2.21 eV per atom